# Dy3Al2Ag

A relaxed structure of Dy3Al2Ag (GGA-PBE, Alexandria).

Lattice parameters (Å, degrees): 3.4823 3.4823 11.6904 90.00 90.00 90.00
Atoms (fractional coordinates):
Dy  0.0000  0.0000  0.0000
Dy  0.0000  0.0000  0.3329
Dy  0.0000  0.0000  0.6671
Al  0.5000  0.5000  0.1691
Al  0.5000  0.5000  0.8309
Ag  0.5000  0.5000  0.5000

Results
Space-group type ... P4/mmm, No. 123
Calculated total energy ... -26.4 eV for the cell shown
Density ... 7.606 g/cm³